Ho2CuPPt6 | PBE | optimized geometry

Cell and atoms, written as POSCAR:
```
Ho2CuPPt6
1.0
5.522 0.000 0.000
0.000 8.599 0.000
0.000 0.000 8.008
Ho Cu P Pt
4 2 2 12
direct
0.250 0.025 0.228
0.250 0.475 0.228
0.750 0.525 0.772
0.750 0.975 0.772
0.250 0.750 0.786
0.750 0.250 0.214
0.250 0.250 0.734
0.750 0.750 0.266
0.002 0.750 0.516
0.008 0.750 0.044
0.250 0.002 0.617
0.250 0.498 0.617
0.492 0.750 0.044
0.498 0.750 0.516
0.502 0.250 0.484
0.508 0.250 0.956
0.750 0.502 0.383
0.750 0.998 0.383
0.992 0.250 0.956
0.998 0.250 0.484
```

Computed properties:
Electronic total energy: -6.30 eV/atom
Crystal system: orthorhombic
V: 190.14 Å³/f.u.
N(E_F): 6.69 states/eV/cell
Total magnetic moment: 0.00 μB per cell